# 1
3
Lattice="0.000 3.134 3.134 3.134 0.000 3.134 3.134 3.134 0.000" Properties=species:S:1:pos:R:3 comment="PBE NaGeMo, optimized geometry" e_tot_ev_per_atom=-4.871 spacegroup="No. 216" pbc="T T T"
Na 0.000 0.000 0.000
Ge 4.701 4.701 4.701
Mo 3.134 3.134 3.134

# 2
4
Lattice="0.000 3.131 3.131 3.131 0.000 3.131 3.131 3.131 0.000" Properties=species:S:1:pos:R:3 comment="PBE NaReGeMo, optimized geometry" e_tot_ev_per_atom=-6.902 spacegroup="No. 216" pbc="T T T"
Na 0.000 0.000 0.000
Re 3.131 3.131 3.131
Ge 1.566 1.566 1.566
Mo 4.697 4.697 4.697

# 3
4
Lattice="0.000 3.133 3.133 3.133 0.000 3.133 3.133 3.133 0.000" Properties=species:S:1:pos:R:3 comment="PBE NaTcGeMo, optimized geometry" e_tot_ev_per_atom=-6.477 spacegroup="No. 216" pbc="T T T"
Na 0.000 0.000 0.000
Tc 3.133 3.133 3.133
Ge 1.566 1.566 1.566
Mo 4.699 4.699 4.699

# 4
4
Lattice="0.000 3.148 3.148 3.148 0.000 3.148 3.148 3.148 0.000" Properties=species:S:1:pos:R:3 comment="PBE NaTcGeMo, optimized geometry" e_tot_ev_per_atom=-6.393 spacegroup="No. 216" pbc="T T T"
Na 0.000 0.000 0.000
Tc 1.574 1.574 1.574
Ge 4.722 4.722 4.722
Mo 3.148 3.148 3.148

# 5
4
Lattice="0.000 3.180 3.180 3.180 0.000 3.180 3.180 3.180 0.000" Properties=species:S:1:pos:R:3 comment="PBE NbGeMo2, optimized geometry" e_tot_ev_per_atom=-9.054 spacegroup="No. 216" pbc="T T T"
Nb 0.000 0.000 0.000
Ge 4.769 4.769 4.769
Mo 1.590 1.590 1.590
Mo 3.180 3.180 3.180

# 6
4
Lattice="0.000 3.105 3.105 3.105 0.000 3.105 3.105 3.105 0.000" Properties=species:S:1:pos:R:3 comment="PBE NbNiGeMo, optimized geometry" e_tot_ev_per_atom=-7.768 spacegroup="No. 216" pbc="T T T"
Nb 0.000 0.000 0.000
Ni 4.658 4.658 4.658
Ge 3.105 3.105 3.105
Mo 1.553 1.553 1.553

# 7
4
Lattice="0.000 2.961 2.961 2.961 0.000 2.961 2.961 2.961 0.000" Properties=species:S:1:pos:R:3 comment="PBE Ni2GeMo, optimized geometry" e_tot_ev_per_atom=-6.687 spacegroup="No. 216" pbc="T T T"
Ni 0.000 0.000 0.000
Ni 1.481 1.481 1.481
Ge 2.961 2.961 2.961
Mo 4.442 4.442 4.442

# 8
4
Lattice="0.000 3.041 3.041 3.041 0.000 3.041 3.041 3.041 0.000" Properties=species:S:1:pos:R:3 comment="PBE NiGeMoOs, optimized geometry" e_tot_ev_per_atom=-7.888 spacegroup="No. 216" pbc="T T T"
Ni 0.000 0.000 0.000
Ge 4.561 4.561 4.561
Mo 3.041 3.041 3.041
Os 1.520 1.520 1.520